Entry 1:
Ni8Pb: optimized geometry, GGA-PBE.

a = 4.2686 Å, b = 4.2686 Å, c = 28.5949 Å
α = 90.12°, β = 90.12°, γ = 48.61°
Closest atoms and distances in Å follow each position.
Positions (direct):
1 Pb 0.9490 0.9490 0.7506  6 Ni 2.69-2.96
2 Ni 0.8495 0.8495 0.3776  12 Ni 2.43-2.48
3 Ni 0.1505 0.1505 0.6224  12 Ni 2.43-2.48
4 Ni 0.9504 0.9504 0.4592  12 Ni 2.46-2.48
5 Ni 0.2480 0.2480 0.7033  6 Ni 2.43-2.48, 3 Pb 2.69-2.71
6 Ni 0.0496 0.0496 0.5408  12 Ni 2.46-2.48
7 Ni 0.5505 0.5505 0.4044  12 Ni 2.45-2.48
8 Ni 0.7494 0.7494 0.5680  12 Ni 2.46-2.49
9 Pb 0.0510 0.0510 0.2494  6 Ni 2.69-2.96
10 Ni 0.4495 0.4495 0.5956  12 Ni 2.45-2.48
11 Ni 0.1491 0.1491 0.3495  11 Ni 2.45-2.49
12 Ni 0.4473 0.4473 0.3225  9 Ni 2.44-2.48
13 Ni 0.6502 0.6502 0.4862  12 Ni 2.46-2.48
14 Ni 0.2506 0.2506 0.4320  12 Ni 2.46-2.49
15 Ni 0.8509 0.8509 0.6505  11 Ni 2.45-2.49
16 Ni 0.3498 0.3498 0.5138  12 Ni 2.46-2.48
17 Ni 0.7520 0.7520 0.2967  6 Ni 2.43-2.48, 3 Pb 2.69-2.71
18 Ni 0.5527 0.5527 0.6775  9 Ni 2.44-2.48

Crystal system: monoclinic
Space-group type: C2/m

Entry 2:
Ba2LaOsSe6: optimized geometry, GGA-PBE.

a = 7.5611 Å, b = 7.5611 Å, c = 7.5611 Å
α = 122.15°, β = 122.15°, γ = 86.31°
Closest atoms and distances in Å follow each position.
Positions (direct):
1 Se 0.7317 0.7317 0.0000  1 Os 2.56
2 Se 0.2683 0.2683 0.0000  1 Os 2.56
3 Ba 0.7500 0.2500 0.5000  8 Se 3.31-3.66
4 Se 0.3432 0.8039 0.1471  1 Os 2.50
5 Se 0.6568 0.1961 0.8529  1 Os 2.50
6 La 0.0000 0.0000 0.0000  6 Se 2.89-2.96
7 Os 0.5000 0.5000 0.0000  6 Se 2.50-2.56
8 Se 0.8039 0.6568 0.4607  1 Os 2.50
9 Se 0.1961 0.3432 0.5393  1 Os 2.50
10 Ba 0.2500 0.7500 0.5000  8 Se 3.31-3.66

Crystal system: tetragonal
Space-group type: I4/m

Entry 3:
Pr3Mg3TlAgPt: optimized geometry, GGA-PBE.

a = 8.0315 Å, b = 8.0315 Å, c = 4.1277 Å
α = 90.00°, β = 90.00°, γ = 120.00°
Closest atoms and distances in Å follow each position.
Positions (direct):
1 Pt 0.6667 0.3333 0.0000  6 Pr 3.04, 3 Mg 3.10
2 Pr 0.4287 0.4010 0.5000  2 Pt 3.04, 2 Tl 3.32, 1 Ag 3.34
3 Pr 0.9723 0.5713 0.5000  2 Pt 3.04, 2 Tl 3.32, 1 Ag 3.34
4 Tl 0.3333 0.6667 0.0000  3 Mg 3.11, 6 Pr 3.32
5 Mg 0.2438 0.0009 0.0000  2 Ag 2.84, 1 Pt 3.10, 1 Tl 3.11
6 Ag 0.0000 0.0000 0.5000  6 Mg 2.84
7 Mg 0.7571 0.7562 0.0000  2 Ag 2.84, 1 Pt 3.10, 1 Tl 3.11
8 Mg 0.9991 0.2429 0.0000  2 Ag 2.84, 1 Pt 3.10, 1 Tl 3.11
9 Pr 0.5990 0.0277 0.5000  2 Pt 3.04, 2 Tl 3.32, 1 Ag 3.34

Crystal system: hexagonal
Space-group type: P-6

Entry 4:
GdScO3: optimized geometry, GGA-PBE.

a = 5.4620 Å, b = 5.7445 Å, c = 7.9035 Å
α = 90.00°, β = 90.00°, γ = 90.00°
Closest atoms and distances in Å follow each position.
Positions (direct):
1 Sc 0.5000 0.0000 0.5000  6 O 2.08-2.11
2 O 0.1910 0.1935 0.5646  2 Sc 2.08-2.11, 1 Gd 2.28
3 O 0.8090 0.8065 0.4354  2 Sc 2.08-2.11, 1 Gd 2.28
4 Gd 0.4821 0.4378 0.7500  4 O 2.25-2.34
5 O 0.6910 0.3065 0.4354  2 Sc 2.08-2.11, 1 Gd 2.28
6 Gd 0.9821 0.0622 0.2500  4 O 2.25-2.34
7 Gd 0.5179 0.5622 0.2500  4 O 2.25-2.34
8 O 0.3753 0.9472 0.2500  2 Sc 2.11, 2 Gd 2.25-2.34
9 O 0.3090 0.6935 0.5646  2 Sc 2.08-2.11, 1 Gd 2.28
10 O 0.8090 0.8065 0.0646  2 Sc 2.08-2.11, 1 Gd 2.28
11 O 0.1910 0.1935 0.9354  2 Sc 2.08-2.11, 1 Gd 2.28
12 Sc 0.5000 0.0000 0.0000  6 O 2.08-2.11
13 O 0.6247 0.0528 0.7500  2 Sc 2.11, 2 Gd 2.25-2.34
14 O 0.6910 0.3065 0.0646  2 Sc 2.08-2.11, 1 Gd 2.28
15 O 0.8753 0.5528 0.7500  2 Sc 2.11, 2 Gd 2.25-2.34
16 O 0.1247 0.4472 0.2500  2 Sc 2.11, 2 Gd 2.25-2.34
17 Sc 0.0000 0.5000 0.0000  6 O 2.08-2.11
18 O 0.3090 0.6935 0.9354  2 Sc 2.08-2.11, 1 Gd 2.28
19 Sc 0.0000 0.5000 0.5000  6 O 2.08-2.11
20 Gd 0.0179 0.9378 0.7500  4 O 2.25-2.34

Crystal system: orthorhombic
Space-group type: Pnma

Entry 5:
Ta3CuSb5: optimized geometry, GGA-PBE.

a = 5.6980 Å, b = 5.6980 Å, c = 8.4406 Å
α = 90.00°, β = 90.00°, γ = 120.00°
Closest atoms and distances in Å follow each position.
Positions (direct):
1 Ta 0.5000 0.0000 0.5000  6 Sb 2.85-2.94, 4 Ta 2.85
2 Sb 0.3333 0.6667 0.7891  3 Ta 2.94, 3 Sb 3.29
3 Sb 0.3333 0.6667 0.2109  3 Ta 2.94, 3 Sb 3.29
4 Ta 0.0000 0.5000 0.5000  4 Ta 2.85, 6 Sb 2.85-2.94
5 Ta 0.5000 0.5000 0.5000  4 Ta 2.85, 6 Sb 2.85-2.94
6 Sb 0.0000 0.0000 0.5000  6 Ta 2.85
7 Sb 0.6667 0.3333 0.7891  3 Ta 2.94, 3 Sb 3.29
8 Sb 0.6667 0.3333 0.2109  3 Ta 2.94, 3 Sb 3.29
9 Cu 0.0000 0.0000 0.0000  12 Sb 3.74

Crystal system: hexagonal
Space-group type: P6/mmm

Entry 6:
NdGdSbBr2: optimized geometry, GGA-PBE.

a = 4.3104 Å, b = 4.3104 Å, c = 10.9848 Å
α = 90.00°, β = 90.00°, γ = 120.00°
Closest atoms and distances in Å follow each position.
Positions (direct):
1 Br 0.3333 0.6667 0.6834  3 Gd 3.01
2 Nd 0.3333 0.6667 0.1613  3 Br 3.06, 3 Sb 3.09
3 Gd 0.0000 0.0000 0.8380  3 Br 3.01, 3 Sb 3.02
4 Sb 0.6667 0.3333 0.9943  3 Gd 3.02, 3 Nd 3.09
5 Br 0.0000 0.0000 0.3230  3 Nd 3.06

Crystal system: trigonal
Space-group type: P3m1

Entry 7:
PrDyZn2Pb2: optimized geometry, GGA-PBE.

a = 4.6587 Å, b = 4.6587 Å, c = 16.2399 Å
α = 90.00°, β = 90.00°, γ = 120.00°
Closest atoms and distances in Å follow each position.
Positions (direct):
1 Dy 0.0000 0.0000 0.0000  6 Pb 3.20
2 Zn 0.6667 0.3333 0.8399  3 Pb 2.82, 1 Zn 2.92, 3 Pr 3.06
3 Pr 0.0000 0.0000 0.7500  6 Zn 3.06
4 Zn 0.3333 0.6667 0.3399  3 Pb 2.82, 1 Zn 2.92, 3 Pr 3.06
5 Pb 0.3333 0.6667 0.6073  3 Zn 2.82
6 Pr 0.0000 0.0000 0.2500  6 Zn 3.06
7 Pb 0.6667 0.3333 0.1073  3 Zn 2.82
8 Pb 0.6667 0.3333 0.3927  3 Zn 2.82
9 Zn 0.6667 0.3333 0.6601  3 Pb 2.82, 1 Zn 2.92, 3 Pr 3.06
10 Dy 0.0000 0.0000 0.5000  6 Pb 3.20
11 Pb 0.3333 0.6667 0.8927  3 Zn 2.82
12 Zn 0.3333 0.6667 0.1601  3 Pb 2.82, 1 Zn 2.92, 3 Pr 3.06

Crystal system: hexagonal
Space-group type: P6_3/mmc
Relative energy among the computed polymorphs in kcal/mol of atoms: 0.46

Entry 8:
NbF: optimized geometry, GGA-PBE.

a = 2.7442 Å, b = 2.7441 Å, c = 4.0052 Å
α = 90.00°, β = 90.00°, γ = 120.00°
Closest atoms and distances in Å follow each position.
Positions (direct):
1 F 0.6667 0.3333 0.7500  6 Nb 2.55, 6 F 2.74
2 Nb 0.3333 0.6667 0.2500  6 F 2.55, 6 Nb 2.74

Crystal system: hexagonal
Space-group type: P-6m2
Relative energy among the computed polymorphs in kcal/mol of atoms: 0.00

Result set for theoretical density: 5.75 6.06 7.22 6.70 8.50 5.48 9.23 7.11 g/cm3, one per record in the order listed.
Result set for raw total energy: -5.305 -5.247 -3.857 -8.699 -6.448 -4.888 -3.652 -6.797 eV/atom, one per record in the order listed.